Record 1
## Er3CdCu8 (PBE)

Data for a relaxed Er3CdCu8 crystal.

```
Er3CdCu8
1.0
-3.817 2.146 2.733
-0.978 -2.038 -4.641
-1.605 -7.453 3.611
Er Cd Cu
3 1 8
direct
0.667 0.333 0.453
0.667 0.333 0.066
0.000 0.000 0.921
0.000 0.000 0.554
0.333 0.667 0.502
0.333 0.667 0.004
0.499 0.999 0.751
0.499 0.501 0.751
0.001 0.501 0.751
0.165 0.331 0.249
0.165 0.835 0.249
0.669 0.835 0.249
```

## Properties
The symmetry is P3m1, No. 156. The density of states at the Fermi level comes out at 0.5906 states/eV per atom. The polymorph energy (0 for the lowest one) comes out at 0 meV per atom. For the energy of formation from the pure elements, the calculation gives -0.23 eV per atom.

Record 2
## NdDy5TlIn2 (PBE)

Data for a relaxed NdDy5TlIn2 crystal.

```
NdDy5TlIn2
1.0
8.590 0.000 0.000
0.000 8.590 0.000
-4.295 -4.295 7.095
Nd Dy Tl In
2 10 2 4
direct
0.250 0.750 0.500
0.750 0.250 0.500
0.926 0.426 0.266
0.660 0.160 0.734
0.074 0.574 0.734
0.160 0.074 0.734
0.574 0.660 0.734
0.840 0.926 0.266
0.426 0.340 0.266
0.340 0.840 0.266
0.500 0.500 0.000
0.000 0.000 0.000
0.250 0.250 0.500
0.750 0.750 0.500
0.111 0.389 0.000
0.611 0.111 0.000
0.389 0.889 0.000
0.889 0.611 0.000
```

## Properties
The symmetry is I4/mcm, No. 140. The density of states at the Fermi level comes out at 0.9388 states/eV per atom. For the energy of formation from the pure elements, the calculation gives -0.06 eV per atom.

Record 3
## LaMnAlGa2 (PBE)

Data for a relaxed LaMnAlGa2 crystal.

```
LaMnAlGa2
1.0
4.652 0.000 0.000
0.000 4.652 0.000
0.000 0.000 4.606
Mn Al Ga La
1 1 2 1
direct
0.000 0.000 0.000
0.000 0.000 0.500
0.000 0.500 0.000
0.500 0.000 0.000
0.500 0.500 0.500
```

## Properties
The symmetry is P4/mmm, No. 123. The density of states at the Fermi level comes out at 0.3717 states/eV per atom. For the energy of formation from the pure elements, the calculation gives -0.40 eV per atom.

Record 4
## Ba2Hg4Pb3 (PBE)

Data for a relaxed Ba2Hg4Pb3 crystal.

```
Ba2Hg4Pb3
1.0
5.467 0.001 0.001
2.733 4.740 0.187
-0.003 -0.409 11.105
Ba Hg Pb
2 4 3
direct
0.333 0.333 0.780
0.667 0.667 0.220
0.667 0.667 0.901
0.000 0.000 0.358
0.000 0.000 0.642
0.333 0.333 0.099
0.333 0.333 0.440
0.000 0.000 0.000
0.667 0.667 0.560
```

## Properties
The symmetry is C2/m, No. 12. The density of states at the Fermi level comes out at 0.3822 states/eV per atom. The polymorph energy (0 for the lowest one) comes out at 0 meV per atom. For the energy of formation from the pure elements, the calculation gives -0.37 eV per atom.

Record 5
## Dy6P2PbSe3 (PBE)

Data for a relaxed Dy6P2PbSe3 crystal.

```
Dy6P2PbSe3
1.0
-3.132 -2.550 -0.601
1.223 -3.285 7.570
-4.206 7.993 1.875
Dy P Pb Se
6 2 1 3
direct
0.328 0.893 0.656
0.673 0.573 0.346
0.672 0.107 0.344
0.007 0.265 0.014
0.993 0.735 0.986
0.327 0.427 0.654
0.832 0.662 0.663
0.168 0.338 0.337
0.500 0.000 0.000
0.500 0.500 0.000
0.836 0.168 0.671
0.164 0.832 0.329
```

## Properties
The symmetry is C2/m, No. 12. The density of states at the Fermi level comes out at 0.3883 states/eV per atom. The calculation puts the uncorrected formation energy at -1.5281 eV/atom.

Record 6
## TcSbSeN2 (PBE)

Data for a relaxed TcSbSeN2 crystal.

```
TcSbSeN2
1.0
-2.653 -2.259 -1.862
-0.604 -2.037 3.331
-3.822 3.365 1.364
Sb Tc Se N
1 1 1 2
direct
0.500 0.500 0.500
0.000 0.000 0.000
0.000 0.000 0.500
0.000 0.500 0.000
0.500 0.000 0.000
```

## Properties
The symmetry is P4/mmm, No. 123. The density of states at the Fermi level comes out at 0.6065 states/eV per atom. The polymorph energy (0 for the lowest one) comes out at 0 meV per atom. The calculation puts the uncorrected formation energy at 0.6670 eV/atom.

Record 7
## BeMoCl2 (PBE)

Data for a relaxed BeMoCl2 crystal.

```
BeMoCl2
1.0
-3.374 1.772 0.199
-1.938 -3.591 -0.887
-0.225 -0.885 4.075
Be Mo Cl
1 1 2
direct
0.500 0.000 0.500
0.500 0.500 0.000
0.000 0.000 0.000
0.000 0.500 0.500
```

## Properties
The symmetry is P4/mmm, No. 123. The density of states at the Fermi level comes out at 0.6544 states/eV per atom. The polymorph energy (0 for the lowest one) comes out at 1167 meV per atom. The calculation puts the uncorrected formation energy at 0.8625 eV/atom.

Record 8
## Re3Os4 (PBE)

Data for a relaxed Re3Os4 crystal.

```
Re3Os4
1.0
-5.019 2.020 -4.022
-0.842 -5.669 3.551
4.245 4.661 2.391
Re Os
3 4
direct
0.613 0.314 0.747
0.747 0.613 0.314
0.314 0.747 0.613
0.973 0.973 0.973
0.696 0.262 0.395
0.262 0.395 0.696
0.395 0.696 0.262
```

## Properties
The symmetry is R3, No. 146. The density of states at the Fermi level comes out at 0.9572 states/eV per atom. The polymorph energy (0 for the lowest one) comes out at 286 meV per atom. For the energy of formation from the pure elements, the calculation gives 0.36 eV per atom.

no.,energy (eV/atom)
1,-4.178
2,-4.021
3,-5.176
4,-2.170
5,-5.911
6,-6.258
7,-3.700
8,-11.391